# SCAN CrIn2Br, single point on PBEsol structure
# **Energy relative to the lowest polymorph listed for this composition**: 25 meV/atom
# **E_tot**: -104.89 eV for the cell shown
# **Density of states at the Fermi level**: 0.345 states/eV per atom
# **Formation energy without anion corrections**: -0.069 eV per atom
data_CrIn2Br
_cell_length_a 3.294
_cell_length_b 3.294
_cell_length_c 8.460
_cell_angle_alpha 90.00
_cell_angle_beta 90.00
_cell_angle_gamma 90.00
_space_group_name_H-M_alt 'P 4 m m'
_space_group_IT_number 99
_space_group_name_Hall 'P 4 -2'
loop_
_atom_site_label
_atom_site_type_symbol
_atom_site_fract_x
_atom_site_fract_y
_atom_site_fract_z
Cr1 Cr 0.000 0.000 0.000
In1 In 0.000 0.000 0.488
In2 In 0.500 0.500 0.214
Br1 Br 0.500 0.500 0.817



# SCAN CrIn4Br, single point on PBEsol structure
# **E_tot**: -680.14 eV for the cell shown
# **Density of states at the Fermi level**: 0.615 states/eV per atom
# **Formation energy without anion corrections**: 0.226 eV per atom
data_CrIn4Br
_cell_length_a 8.485
_cell_length_b 8.485
_cell_length_c 8.485
_cell_angle_alpha 90.00
_cell_angle_beta 90.00
_cell_angle_gamma 90.00
_space_group_name_H-M_alt 'F -4 3 m'
_space_group_IT_number 216
_space_group_name_Hall 'F -4 2 3'
loop_
_atom_site_label
_atom_site_type_symbol
_atom_site_fract_x
_atom_site_fract_y
_atom_site_fract_z
Cr1 Cr 0.000 0.000 0.000
In1 In 0.125 0.125 0.625
Br1 Br 0.250 0.250 0.250



# SCAN CrInBr, single point on PBEsol structure
# **E_tot**: -278.93 eV for the cell shown
# **Density of states at the Fermi level**: 0.565 states/eV per atom
# **Formation energy without anion corrections**: 0.499 eV per atom
data_CrInBr
_cell_length_a 6.889
_cell_length_b 6.889
_cell_length_c 6.889
_cell_angle_alpha 90.00
_cell_angle_beta 90.00
_cell_angle_gamma 90.00
_space_group_name_H-M_alt 'F -4 3 m'
_space_group_IT_number 216
_space_group_name_Hall 'F -4 2 3'
loop_
_atom_site_label
_atom_site_type_symbol
_atom_site_fract_x
_atom_site_fract_y
_atom_site_fract_z
Cr1 Cr 0.000 0.000 0.000
In1 In 0.000 0.000 0.500
Br1 Br 0.250 0.250 0.250



# SCAN CrInBr2, single point on PBEsol structure
# **E_tot**: -184.81 eV for the cell shown
# **Density of states at the Fermi level**: 0.575 states/eV per atom
# **Formation energy without anion corrections**: -0.429 eV per atom
data_CrInBr2
_cell_length_a 3.440
_cell_length_b 3.522
_cell_length_c 17.172
_cell_angle_alpha 90.00
_cell_angle_beta 90.00
_cell_angle_gamma 90.00
_space_group_name_H-M_alt 'I m m 2'
_space_group_IT_number 44
_space_group_name_Hall 'I 2 -2'
loop_
_atom_site_label
_atom_site_type_symbol
_atom_site_fract_x
_atom_site_fract_y
_atom_site_fract_z
Cr1 Cr 0.000 0.000 0.000
In1 In 0.000 0.500 0.747
Br1 Br 0.000 0.000 0.575
Br2 Br 0.000 0.500 0.390



# SCAN CrIn2Br, single point on PBEsol structure
# **Energy relative to the lowest polymorph listed for this composition**: 0 meV/atom
# **E_tot**: -209.99 eV for the cell shown
# **Density of states at the Fermi level**: 0.439 states/eV per atom
# **Formation energy without anion corrections**: -0.094 eV per atom
data_CrIn2Br
_cell_length_a 3.235
_cell_length_b 3.394
_cell_length_c 17.292
_cell_angle_alpha 90.00
_cell_angle_beta 90.00
_cell_angle_gamma 90.00
_space_group_name_H-M_alt 'A m m 2'
_space_group_IT_number 38
_space_group_name_Hall 'A 2 -2'
loop_
_atom_site_label
_atom_site_type_symbol
_atom_site_fract_x
_atom_site_fract_y
_atom_site_fract_z
Cr1 Cr 0.000 0.000 0.000
In1 In 0.000 0.000 0.231
In2 In 0.500 0.000 0.596
Br1 Br 0.500 0.000 0.893



# SCAN CrInBr3, single point on PBEsol structure
# **E_tot**: -114.29 eV for the cell shown
# **Density of states at the Fermi level**: 0.168 states/eV per atom
# **Formation energy without anion corrections**: -0.829 eV per atom
data_CrInBr3
_cell_length_a 5.120
_cell_length_b 5.120
_cell_length_c 5.120
_cell_angle_alpha 90.00
_cell_angle_beta 90.00
_cell_angle_gamma 90.00
_space_group_name_H-M_alt 'P m -3 m'
_space_group_IT_number 221
_space_group_name_Hall '-P 4 2 3'
loop_
_atom_site_label
_atom_site_type_symbol
_atom_site_fract_x
_atom_site_fract_y
_atom_site_fract_z
Cr1 Cr 0.000 0.000 0.000
In1 In 0.500 0.500 0.500
Br1 Br 0.000 0.000 0.500



# SCAN CrIn2Br, single point on PBEsol structure
# **Energy relative to the lowest polymorph listed for this composition**: 194 meV/atom
# **E_tot**: -208.44 eV for the cell shown
# **Density of states at the Fermi level**: 0.328 states/eV per atom
# **Formation energy without anion corrections**: 0.100 eV per atom
data_CrIn2Br
_cell_length_a 4.241
_cell_length_b 4.241
_cell_length_c 10.439
_cell_angle_alpha 90.00
_cell_angle_beta 90.00
_cell_angle_gamma 90.00
_space_group_name_H-M_alt 'I 4/m m m'
_space_group_IT_number 139
_space_group_name_Hall '-I 4 2'
loop_
_atom_site_label
_atom_site_type_symbol
_atom_site_fract_x
_atom_site_fract_y
_atom_site_fract_z
Cr1 Cr 0.000 0.000 0.000
In1 In 0.000 0.500 0.250
Br1 Br 0.000 0.000 0.500



# SCAN CrIn2Br, single point on PBEsol structure
# **Energy relative to the lowest polymorph listed for this composition**: 63 meV/atom
# **E_tot**: -209.48 eV for the cell shown
# **Density of states at the Fermi level**: 0.647 states/eV per atom
# **Formation energy without anion corrections**: -0.031 eV per atom
data_CrIn2Br
_cell_length_a 10.936
_cell_length_b 3.219
_cell_length_c 5.988
_cell_angle_alpha 90.00
_cell_angle_beta 118.88
_cell_angle_gamma 90.00
_space_group_name_H-M_alt 'C 1 m 1'
_space_group_IT_number 8
_space_group_name_Hall 'C -2y'
loop_
_atom_site_label
_atom_site_type_symbol
_atom_site_fract_x
_atom_site_fract_y
_atom_site_fract_z
Cr1 Cr 0.000 0.000 0.000
In1 In 0.076 0.500 0.434
In2 In 0.238 0.500 0.028
Br1 Br 0.374 0.000 0.628



Copy entry 1 word for word.
# SCAN CrIn2Br, single point on PBEsol structure
# **Energy relative to the lowest polymorph listed for this composition**: 25 meV/atom
# **E_tot**: -104.89 eV for the cell shown
# **Density of states at the Fermi level**: 0.345 states/eV per atom
# **Formation energy without anion corrections**: -0.069 eV per atom
data_CrIn2Br
_cell_length_a 3.294
_cell_length_b 3.294
_cell_length_c 8.460
_cell_angle_alpha 90.00
_cell_angle_beta 90.00
_cell_angle_gamma 90.00
_space_group_name_H-M_alt 'P 4 m m'
_space_group_IT_number 99
_space_group_name_Hall 'P 4 -2'
loop_
_atom_site_label
_atom_site_type_symbol
_atom_site_fract_x
_atom_site_fract_y
_atom_site_fract_z
Cr1 Cr 0.000 0.000 0.000
In1 In 0.000 0.000 0.488
In2 In 0.500 0.500 0.214
Br1 Br 0.500 0.500 0.817